[1]
Compound: CeErLuZr
Source: Alexandria
Functional: GGA-PBE
Structure: relaxed

```
data_CeErLuZr
_chemical_formula_sum 'Ce4 Er4 Lu4 Zr4'
_symmetry_space_group_name_H-M 'F -4 3 m'
_symmetry_Int_Tables_number 216
_symmetry_space_group_name_Hall 'F -4 2 3'
_cell_length_a 7.658
_cell_length_b 7.658
_cell_length_c 7.658
_cell_angle_alpha 90.00
_cell_angle_beta 90.00
_cell_angle_gamma 90.00
loop_
_atom_site_label
_atom_site_type_symbol
_atom_site_fract_x
_atom_site_fract_y
_atom_site_fract_z
Ce1 Ce 0.000 0.000 0.000
Er1 Er 0.000 0.000 0.500
Lu1 Lu 0.250 0.250 0.750
Zr1 Zr 0.250 0.250 0.250
```

=====

[2]
# MnRe2Rh | Alexandria | GGA-PBE | relaxed
# Offset from the most stable computed form in eV/atom: 0.0236
data_MnRe2Rh
_chemical_formula_sum 'Mn2 Re4 Rh2'
_symmetry_space_group_name_H-M 'I -4 m 2'
_symmetry_Int_Tables_number 119
_symmetry_space_group_name_Hall 'I -4 -2'
_cell_length_a 3.852
_cell_length_b 3.852
_cell_length_c 7.522
_cell_angle_alpha 90.00
_cell_angle_beta 90.00
_cell_angle_gamma 90.00
loop_
_atom_site_label
_atom_site_type_symbol
_atom_site_fract_x
_atom_site_fract_y
_atom_site_fract_z
Mn1 Mn 0.000 0.000 0.000
Re1 Re 0.000 0.000 0.500
Re2 Re 0.000 0.500 0.250
Rh1 Rh 0.000 0.500 0.750

=====

[3]
# BaTa2Ni | Alexandria | GGA-PBE | relaxed
# Offset from the most stable computed form in eV/atom: 0.6271
data_BaTa2Ni
_chemical_formula_sum 'Ba4 Ta8 Ni4'
_symmetry_space_group_name_H-M 'F -4 3 m'
_symmetry_Int_Tables_number 216
_symmetry_space_group_name_Hall 'F -4 2 3'
_cell_length_a 6.904
_cell_length_b 6.904
_cell_length_c 6.904
_cell_angle_alpha 90.00
_cell_angle_beta 90.00
_cell_angle_gamma 90.00
loop_
_atom_site_label
_atom_site_type_symbol
_atom_site_fract_x
_atom_site_fract_y
_atom_site_fract_z
Ba1 Ba 0.000 0.000 0.000
Ta1 Ta 0.000 0.000 0.500
Ta2 Ta 0.250 0.250 0.750
Ni1 Ni 0.250 0.250 0.250

=====

[4]
# CaReIr3 | Alexandria | GGA-PBE | relaxed
# Offset from the most stable computed form in eV/atom: 0.0000
data_CaReIr3
_chemical_formula_sum 'Ca1 Re1 Ir3'
_symmetry_space_group_name_H-M 'P m -3 m'
_symmetry_Int_Tables_number 221
_symmetry_space_group_name_Hall '-P 4 2 3'
_cell_length_a 4.794
_cell_length_b 4.794
_cell_length_c 4.794
_cell_angle_alpha 90.00
_cell_angle_beta 90.00
_cell_angle_gamma 90.00
loop_
_atom_site_label
_atom_site_type_symbol
_atom_site_fract_x
_atom_site_fract_y
_atom_site_fract_z
Ca1 Ca 0.000 0.000 0.000
Re1 Re 0.500 0.500 0.500
Ir1 Ir 0.000 0.500 0.500

=====

[5]
Compound: Nd3In4Ge
Source: Alexandria
Functional: GGA-PBE
Structure: relaxed

```
data_Nd3In4Ge
_chemical_formula_sum 'Nd12 In16 Ge4'
_symmetry_space_group_name_H-M 'I 4/m c m'
_symmetry_Int_Tables_number 140
_symmetry_space_group_name_Hall '-I 4 2c'
_cell_length_a 8.515
_cell_length_b 8.515
_cell_length_c 11.936
_cell_angle_alpha 90.00
_cell_angle_beta 90.00
_cell_angle_gamma 90.00
loop_
_atom_site_label
_atom_site_type_symbol
_atom_site_fract_x
_atom_site_fract_y
_atom_site_fract_z
Nd1 Nd 0.000 0.000 0.250
Nd2 Nd 0.164 0.336 0.000
In1 In 0.143 0.357 0.321
Ge1 Ge 0.000 0.000 0.000
```

=====

[6]
Compound: CaNdNO
Source: Alexandria
Functional: GGA-PBE
Structure: relaxed

```
data_CaNdNO
_chemical_formula_sum 'Ca3 Nd3 N3 O3'
_symmetry_space_group_name_H-M 'R 3 m'
_symmetry_Int_Tables_number 160
_symmetry_space_group_name_Hall 'R 3 -2"'
_cell_length_a 3.5795
_cell_length_b 3.5795
_cell_length_c 17.3818
_cell_angle_alpha 90.00
_cell_angle_beta 90.00
_cell_angle_gamma 120.00
loop_
_atom_site_label
_atom_site_type_symbol
_atom_site_fract_x
_atom_site_fract_y
_atom_site_fract_z
Ca1 Ca 0.0000 0.0000 0.0000
Nd1 Nd 0.0000 0.0000 0.4955
N1 N 0.0000 0.0000 0.7560
O1 O 0.0000 0.0000 0.2523
```

=====

[7]
# FeOsC | Alexandria | GGA-PBE | relaxed
# Offset from the most stable computed form in eV/atom: 0.0929
data_FeOsC
_chemical_formula_sum 'Fe4 Os4 C4'
_symmetry_space_group_name_H-M 'C 1 m 1'
_symmetry_Int_Tables_number 8
_symmetry_space_group_name_Hall 'C -2y'
_cell_length_a 9.677
_cell_length_b 2.733
_cell_length_c 6.739
_cell_angle_alpha 90.00
_cell_angle_beta 134.05
_cell_angle_gamma 90.00
loop_
_atom_site_label
_atom_site_type_symbol
_atom_site_fract_x
_atom_site_fract_y
_atom_site_fract_z
Fe1 Fe 0.000 0.000 0.000
Fe2 Fe 0.193 0.500 0.903
Os1 Os 0.191 0.500 0.473
Os2 Os 0.372 0.000 0.362
C1 C 0.390 0.000 0.071
C2 C 0.415 0.000 0.715

=====

[8]
# Pm4HoSc | Alexandria | GGA-PBE | relaxed
# Offset from the most stable computed form in eV/atom: 0.0000
data_Pm4HoSc
_chemical_formula_sum 'Pm8 Ho2 Sc2'
_symmetry_space_group_name_H-M 'C 1 2/m 1'
_symmetry_Int_Tables_number 12
_symmetry_space_group_name_Hall '-C 2y'
_cell_length_a 11.153
_cell_length_b 5.873
_cell_length_c 5.873
_cell_angle_alpha 90.00
_cell_angle_beta 90.04
_cell_angle_gamma 90.00
loop_
_atom_site_label
_atom_site_type_symbol
_atom_site_fract_x
_atom_site_fract_y
_atom_site_fract_z
Pm1 Pm 0.157 0.000 0.499
Pm2 Pm 0.159 0.500 0.001
Ho1 Ho 0.000 0.500 0.500
Sc1 Sc 0.000 0.000 0.000

=====

[9]
# Be3NbOs | Alexandria | GGA-PBE | relaxed
# Offset from the most stable computed form in eV/atom: 1.3633
data_Be3NbOs
_chemical_formula_sum 'Be3 Nb1 Os1'
_symmetry_space_group_name_H-M 'P m -3 m'
_symmetry_Int_Tables_number 221
_symmetry_space_group_name_Hall '-P 4 2 3'
_cell_length_a 4.143
_cell_length_b 4.143
_cell_length_c 4.143
_cell_angle_alpha 90.00
_cell_angle_beta 90.00
_cell_angle_gamma 90.00
loop_
_atom_site_label
_atom_site_type_symbol
_atom_site_fract_x
_atom_site_fract_y
_atom_site_fract_z
Be1 Be 0.000 0.000 0.500
Nb1 Nb 0.000 0.000 0.000
Os1 Os 0.500 0.500 0.500

=====

[10]
# HfIn3I | Alexandria | GGA-PBE | relaxed
# Offset from the most stable computed form in eV/atom: 0.0000
data_HfIn3I
_chemical_formula_sum 'Hf1 In3 I1'
_symmetry_space_group_name_H-M 'P m -3 m'
_symmetry_Int_Tables_number 221
_symmetry_space_group_name_Hall '-P 4 2 3'
_cell_length_a 5.789
_cell_length_b 5.789
_cell_length_c 5.789
_cell_angle_alpha 90.00
_cell_angle_beta 90.00
_cell_angle_gamma 90.00
loop_
_atom_site_label
_atom_site_type_symbol
_atom_site_fract_x
_atom_site_fract_y
_atom_site_fract_z
Hf1 Hf 0.000 0.000 0.000
In1 In 0.000 0.000 0.500
I1 I 0.500 0.500 0.500

=====

[11]
# NdHo3Er | Alexandria | GGA-PBE | relaxed
# Offset from the most stable computed form in eV/atom: 0.0000
data_NdHo3Er
_chemical_formula_sum 'Nd2 Ho6 Er2'
_symmetry_space_group_name_H-M 'P -1'
_symmetry_Int_Tables_number 2
_symmetry_space_group_name_Hall '-P 1'
_cell_length_a 6.265
_cell_length_b 6.713
_cell_length_c 9.199
_cell_angle_alpha 107.82
_cell_angle_beta 90.01
_cell_angle_gamma 117.76
loop_
_atom_site_label
_atom_site_type_symbol
_atom_site_fract_x
_atom_site_fract_y
_atom_site_fract_z
Nd1 Nd 0.171 0.000 0.251
Ho1 Ho 0.233 0.797 0.550
Ho2 Ho 0.365 0.398 0.651
Ho3 Ho 0.434 0.202 0.951
Er1 Er 0.034 0.399 0.150

=====

[12]
Compound: TbPr2SmHo5
Source: Alexandria
Functional: GGA-PBE
Structure: relaxed

```
data_TbPr2SmHo5
_chemical_formula_sum 'Tb4 Pr8 Sm4 Ho20'
_symmetry_space_group_name_H-M 'I 4/m c m'
_symmetry_Int_Tables_number 140
_symmetry_space_group_name_Hall '-I 4 2c'
_cell_length_a 8.677
_cell_length_b 8.677
_cell_length_c 15.672
_cell_angle_alpha 90.00
_cell_angle_beta 90.00
_cell_angle_gamma 90.00
loop_
_atom_site_label
_atom_site_type_symbol
_atom_site_fract_x
_atom_site_fract_y
_atom_site_fract_z
Tb1 Tb 0.000 0.500 0.250
Pr1 Pr 0.118 0.382 0.000
Sm1 Sm 0.000 0.000 0.250
Ho1 Ho 0.000 0.000 0.000
Ho2 Ho 0.212 0.288 0.360
```

=====

[13]
# PuPa2P4 | Alexandria | GGA-PBE | relaxed
# Offset from the most stable computed form in eV/atom: 0.2414
data_PuPa2P4
_chemical_formula_sum 'Pu4 Pa8 P16'
_symmetry_space_group_name_H-M 'C m c m'
_symmetry_Int_Tables_number 63
_symmetry_space_group_name_Hall '-C 2c 2'
_cell_length_a 3.983
_cell_length_b 13.319
_cell_length_c 12.304
_cell_angle_alpha 90.00
_cell_angle_beta 90.00
_cell_angle_gamma 90.00
loop_
_atom_site_label
_atom_site_type_symbol
_atom_site_fract_x
_atom_site_fract_y
_atom_site_fract_z
Pu1 Pu 0.000 0.116 0.250
Pa1 Pa 0.000 0.368 0.066
P1 P 0.000 0.000 0.000
P2 P 0.000 0.265 0.629
P3 P 0.000 0.474 0.250

=====

[14]
Compound: Li2Ca3Al7
Source: Alexandria
Functional: GGA-PBE
Structure: relaxed

```
data_Li2Ca3Al7
_chemical_formula_sum 'Li6 Ca9 Al21'
_symmetry_space_group_name_H-M 'R -3 m'
_symmetry_Int_Tables_number 166
_symmetry_space_group_name_Hall '-R 3 2"'
_cell_length_a 5.6288
_cell_length_b 5.6288
_cell_length_c 26.9347
_cell_angle_alpha 90.00
_cell_angle_beta 90.00
_cell_angle_gamma 120.00
loop_
_atom_site_label
_atom_site_type_symbol
_atom_site_fract_x
_atom_site_fract_y
_atom_site_fract_z
Li1 Li 0.0000 0.0000 0.1652
Ca1 Ca 0.0000 0.0000 0.3585
Ca2 Ca 0.0000 0.0000 0.5000
Al1 Al 0.0000 0.0000 0.0000
Al2 Al 0.0042 0.5021 0.4178
```

=====

[15]
Compound: TmFe7B3
Source: Alexandria
Functional: GGA-PBE
Structure: relaxed

```
data_TmFe7B3
_chemical_formula_sum 'Tm6 Fe42 B18'
_symmetry_space_group_name_H-M 'R -3 c'
_symmetry_Int_Tables_number 167
_symmetry_space_group_name_Hall '-R 3 2"c'
_cell_length_a 6.6508
_cell_length_b 6.6508
_cell_length_c 18.4131
_cell_angle_alpha 90.00
_cell_angle_beta 90.00
_cell_angle_gamma 120.00
loop_
_atom_site_label
_atom_site_type_symbol
_atom_site_fract_x
_atom_site_fract_y
_atom_site_fract_z
Tm1 Tm 0.0000 0.0000 0.0000
Fe1 Fe 0.0000 0.0000 0.2500
Fe2 Fe 0.0107 0.2213 0.1385
B1 B 0.0000 0.3274 0.2500
```

=====

[16]
# LaZn2W | Alexandria | GGA-PBE | relaxed
# Offset from the most stable computed form in eV/atom: 0.0712
data_LaZn2W
_chemical_formula_sum 'La1 Zn2 W1'
_symmetry_space_group_name_H-M 'P 1 m 1'
_symmetry_Int_Tables_number 6
_symmetry_space_group_name_Hall 'P -2y'
_cell_length_a 2.915
_cell_length_b 4.375
_cell_length_c 6.391
_cell_angle_alpha 90.00
_cell_angle_beta 102.92
_cell_angle_gamma 90.00
loop_
_atom_site_label
_atom_site_type_symbol
_atom_site_fract_x
_atom_site_fract_y
_atom_site_fract_z
La1 La 0.000 0.000 0.000
Zn1 Zn 0.243 0.000 0.479
Zn2 Zn 0.358 0.500 0.714
W1 W 0.675 0.500 0.346

=====

[17]
Compound: PmPu2MnN4
Source: Alexandria
Functional: GGA-PBE
Structure: relaxed

```
data_PmPu2MnN4
_chemical_formula_sum 'Pm4 Pu8 Mn4 N16'
_symmetry_space_group_name_H-M 'C m c m'
_symmetry_Int_Tables_number 63
_symmetry_space_group_name_Hall '-C 2c 2'
_cell_length_a 3.384
_cell_length_b 11.467
_cell_length_c 11.462
_cell_angle_alpha 90.00
_cell_angle_beta 90.00
_cell_angle_gamma 90.00
loop_
_atom_site_label
_atom_site_type_symbol
_atom_site_fract_x
_atom_site_fract_y
_atom_site_fract_z
Pm1 Pm 0.000 0.106 0.250
Pu1 Pu 0.000 0.369 0.053
Mn1 Mn 0.000 0.158 0.750
N1 N 0.000 0.000 0.000
N2 N 0.000 0.268 0.618
N3 N 0.000 0.441 0.250
```

=====

[18]
Compound: Ca3Sb4Pd4
Source: Alexandria
Functional: GGA-PBE
Structure: relaxed

```
data_Ca3Sb4Pd4
_chemical_formula_sum 'Ca6 Sb8 Pd8'
_symmetry_space_group_name_H-M 'I m m m'
_symmetry_Int_Tables_number 71
_symmetry_space_group_name_Hall '-I 2 2'
_cell_length_a 4.283
_cell_length_b 4.604
_cell_length_c 26.848
_cell_angle_alpha 90.00
_cell_angle_beta 90.00
_cell_angle_gamma 90.00
loop_
_atom_site_label
_atom_site_type_symbol
_atom_site_fract_x
_atom_site_fract_y
_atom_site_fract_z
Ca1 Ca 0.000 0.000 0.000
Ca2 Ca 0.000 0.500 0.151
Sb1 Sb 0.000 0.000 0.447
Sb2 Sb 0.000 0.500 0.307
Pd1 Pd 0.000 0.000 0.253
Pd2 Pd 0.000 0.500 0.404
```

=====

[19]
Compound: Sr2Li3AgPb4
Source: Alexandria
Functional: GGA-PBE
Structure: relaxed

```
data_Sr2Li3AgPb4
_chemical_formula_sum 'Sr2 Li3 Ag1 Pb4'
_symmetry_space_group_name_H-M 'P -4 m 2'
_symmetry_Int_Tables_number 115
_symmetry_space_group_name_Hall 'P -4 -2'
_cell_length_a 4.900
_cell_length_b 4.900
_cell_length_c 11.181
_cell_angle_alpha 90.00
_cell_angle_beta 90.00
_cell_angle_gamma 90.00
loop_
_atom_site_label
_atom_site_type_symbol
_atom_site_fract_x
_atom_site_fract_y
_atom_site_fract_z
Sr1 Sr 0.000 0.500 0.243
Li1 Li 0.000 0.000 0.000
Li2 Li 0.000 0.500 0.627
Ag1 Ag 0.500 0.500 0.000
Pb1 Pb 0.000 0.000 0.500
Pb2 Pb 0.000 0.500 0.868
Pb3 Pb 0.500 0.500 0.500
```

=====

[20]
Compound: AcTb3SmEr
Source: Alexandria
Functional: GGA-PBE
Structure: relaxed

```
data_AcTb3SmEr
_chemical_formula_sum 'Ac4 Tb12 Sm4 Er4'
_symmetry_space_group_name_H-M 'C 1 2/m 1'
_symmetry_Int_Tables_number 12
_symmetry_space_group_name_Hall '-C 2y'
_cell_length_a 20.063
_cell_length_b 5.697
_cell_length_c 7.379
_cell_angle_alpha 90.00
_cell_angle_beta 90.21
_cell_angle_gamma 90.00
loop_
_atom_site_label
_atom_site_type_symbol
_atom_site_fract_x
_atom_site_fract_y
_atom_site_fract_z
Ac1 Ac 0.142 0.000 0.023
Tb1 Tb 0.021 0.000 0.713
Tb2 Tb 0.167 0.500 0.715
Tb3 Tb 0.219 0.500 0.247
Sm1 Sm 0.055 0.500 0.297
Er1 Er 0.153 0.000 0.461
```

=====

[21]
Compound: Ba2Sn6Pd
Source: Alexandria
Functional: GGA-PBE
Structure: relaxed

```
data_Ba2Sn6Pd
_chemical_formula_sum 'Ba2 Sn6 Pd1'
_symmetry_space_group_name_H-M 'P -3 m 1'
_symmetry_Int_Tables_number 164
_symmetry_space_group_name_Hall '-P 3 2"'
_cell_length_a 7.0097
_cell_length_b 7.0097
_cell_length_c 6.2082
_cell_angle_alpha 90.00
_cell_angle_beta 90.00
_cell_angle_gamma 120.00
loop_
_atom_site_label
_atom_site_type_symbol
_atom_site_fract_x
_atom_site_fract_y
_atom_site_fract_z
Ba1 Ba 0.3333 0.6667 0.1670
Sn1 Sn 0.1652 0.3303 0.6854
Pd1 Pd 0.0000 0.0000 0.0000
```

=====

[22]
Compound: InPS3
Source: Alexandria
Functional: GGA-PBE
Structure: relaxed

```
data_InPS3
_chemical_formula_sum 'In4 P4 S12'
_symmetry_space_group_name_H-M 'C 1 2/m 1'
_symmetry_Int_Tables_number 12
_symmetry_space_group_name_Hall '-C 2y'
_cell_length_a 6.612
_cell_length_b 11.460
_cell_length_c 7.468
_cell_angle_alpha 90.00
_cell_angle_beta 106.73
_cell_angle_gamma 90.00
loop_
_atom_site_label
_atom_site_type_symbol
_atom_site_fract_x
_atom_site_fract_y
_atom_site_fract_z
In1 In 0.000 0.167 0.000
P1 P 0.051 0.500 0.157
S1 S 0.220 0.500 0.764
S2 S 0.225 0.352 0.236
```

=====

[23]
Compound: CaNd2Ga4Pt3
Source: Alexandria
Functional: GGA-PBE
Structure: relaxed

```
data_CaNd2Ga4Pt3
_chemical_formula_sum 'Ca1 Nd2 Ga4 Pt3'
_symmetry_space_group_name_H-M 'P -4 m 2'
_symmetry_Int_Tables_number 115
_symmetry_space_group_name_Hall 'P -4 -2'
_cell_length_a 4.303
_cell_length_b 4.303
_cell_length_c 11.394
_cell_angle_alpha 90.00
_cell_angle_beta 90.00
_cell_angle_gamma 90.00
loop_
_atom_site_label
_atom_site_type_symbol
_atom_site_fract_x
_atom_site_fract_y
_atom_site_fract_z
Ca1 Ca 0.000 0.000 0.000
Nd1 Nd 0.000 0.500 0.723
Ga1 Ga 0.000 0.000 0.500
Ga2 Ga 0.000 0.500 0.163
Ga3 Ga 0.500 0.500 0.500
Pt1 Pt 0.000 0.500 0.378
Pt2 Pt 0.500 0.500 0.000
```

=====

Across the entries above, D(E_F) takes the values 9.29; 3.96; 6.82; 4.70; 3.37; 0.00; 2.53; 11.78; 4.84; 4.72; 8.42; 10.48; 12.48; 2.55; 10.27; 3.34; 11.87; 4.80; 4.45; 9.14; 4.57; 1.67; 5.21 states/eV/f.u., respectively.
Across the entries above, raw total energy takes the values -5.693; -10.356; -6.813; -7.395; -4.313; -7.104; -9.224; -4.873; -4.595; -3.432; -4.603; -4.381; -8.806; -3.285; -7.751; -4.792; -10.543; -4.721; -3.006; -4.317; -4.199; -4.389; -5.004 eV per atom, respectively.
Across the entries above, spin magnetization takes the values 6.35; 2.47; 2.78; 0.00; 0.00; 0.00; 3.66; 0.00; 1.39; 3.39; 0.00; 0.00; 20.68; 0.00; 74.02; 0.00; 20.51; 0.00; 0.00; 0.00; 0.00; 0.00; 0.00 μB per cell, respectively.